This record from Alexandria via LeMat-Bulk describes an optimized crystal structure of NaTmSnF6. The functional is PBE.

Calculated values
* theoretical density: 4.59 g/cm³
* DFT total energy: -99.79 eV for the cell shown
* formation energy from raw total energies: -3208 meV per atom

Unit cell a=5.294 b=5.294 c=10.971 alpha=90.00 beta=90.00 gamma=90.00
Sites, in units of the cell vectors:
Na 0.000 0.000 0.000
Na 0.500 0.500 0.500
Tm 0.000 0.000 0.665
Tm 0.500 0.500 0.165
Sn 0.000 0.000 0.330
Sn 0.500 0.500 0.830
F 0.184 0.184 0.818
F 0.194 0.194 0.523
F 0.209 0.209 0.170
F 0.291 0.709 0.670
F 0.306 0.694 0.023
F 0.316 0.684 0.318
F 0.684 0.316 0.318
F 0.694 0.306 0.023
F 0.709 0.291 0.670
F 0.791 0.791 0.170
F 0.806 0.806 0.523
F 0.816 0.816 0.818